Here is a relaxed structure of NpSe2O8F from Alexandria. Energies are from PBE-GGA.

The space group is C2/m (No. 12) and the conventional cell measures 9.080, 6.833 and 6.228 Å, with angles of 90.00, 98.15 and 90.00 degrees. The distinct sites, in fractional coordinates, are Np at (0.000, 0.000, 0.000), Se at (0.092, 0.500, 0.828), O at (0.071, 0.201, 0.820), O at (0.125, 0.500, 0.113), O at (0.223, 0.000, 0.210) and F at (0.000, 0.500, 0.500).



Here is a relaxed structure of Fe2CoSe from Alexandria. Energies are from PBE-GGA.

The space group is I4/mmm (No. 139) and the conventional cell measures 3.535, 3.535 and 8.024 Å, with angles of 90.00, 90.00 and 90.00 degrees. The distinct sites, in fractional coordinates, are Fe at (0.000, 0.500, 0.250), Co at (0.000, 0.000, 0.000) and Se at (0.000, 0.000, 0.500).



Here is a relaxed structure of MnAlPt2Br from Alexandria. Energies are from PBE-GGA.

The space group is P4/mmm (No. 123) and the conventional cell measures 4.569, 4.569 and 4.899 Å, with angles of 90.00, 90.00 and 90.00 degrees. The distinct sites, in fractional coordinates, are Mn at (0.000, 0.000, 0.000), Al at (0.000, 0.000, 0.500), Pt at (0.000, 0.500, 0.000) and Br at (0.500, 0.500, 0.500).



Here is a relaxed structure of LaAuNO2 from Alexandria. Energies are from PBE-GGA.

The space group is P4/mmm (No. 123) and the conventional cell measures 4.180, 4.180 and 4.045 Å, with angles of 90.00, 90.00 and 90.00 degrees. The distinct sites, in fractional coordinates, are La at (0.000, 0.000, 0.000), Au at (0.500, 0.500, 0.500), N at (0.500, 0.500, 0.000) and O at (0.000, 0.500, 0.500).



Short version: E = -6.322 -6.693 -4.554 -5.943 eV/atom, in the order given.
Short version: formation energy from raw total energies = -1.201 0.186 0.779 -0.653 eV/atom, in the order given.